No. 1
First-principles (PBE-GGA) data for a relaxed structure of TcPd2Se2, as listed in Alexandria via LeMat-Bulk.

The value obtained for the density is 9.20 Mg/m³. For the calculated volume, the calculation gives 169.3 Å³/cell. As for the formation energy without anion corrections: 0.1287 eV per atom. For the magnetic moment, the calculation gives 1.9 μB/cell.

It has space group P4/mbm (No. 127), with a = 6.830 Å, b = 6.830 Å, c = 3.629 Å, α = 90.00°, β = 90.00° and γ = 90.00°. Symmetry generates all atoms from Tc at (0.000, 0.000, 0.000), Pd at (0.148, 0.352, 0.500) and Se at (0.166, 0.666, 0.000).


No. 2
First-principles (PBE-GGA) data for a relaxed structure of Tc2PdSe, as listed in Alexandria via LeMat-Bulk.

The value obtained for the density is 7.33 Mg/m³. For the calculated volume, the calculation gives 345.8 Å³/cell. As for the formation energy without anion corrections: 0.9571 eV per atom. For the magnetic moment, the calculation gives 0.0 μB/cell.

It has space group I-42d (No. 122), with a = 5.609 Å, b = 5.609 Å, c = 10.992 Å, α = 90.00°, β = 90.00° and γ = 90.00°. Symmetry generates all atoms from Tc at (0.238, 0.250, 0.125), Pd at (0.000, 0.000, 0.500) and Se at (0.000, 0.000, 0.000).


No. 3
First-principles (PBE-GGA) data for a relaxed structure of Th8Tc3PdSe4, as listed in Alexandria via LeMat-Bulk.

The value obtained for the density is 9.82 Mg/m³. For the calculated volume, the calculation gives 869.8 Å³/cell. As for the formation energy without anion corrections: -0.9023 eV per atom. For the magnetic moment, the calculation gives 0.0 μB/cell.

It has space group C2/m (No. 12), with a = 14.277 Å, b = 8.245 Å, c = 8.788 Å, α = 90.00°, β = 122.78° and γ = 90.00°. Symmetry generates all atoms from Th at (0.014, 0.241, 0.283), Th at (0.239, 0.000, 0.718), Th at (0.245, 0.500, 0.715), Tc at (0.000, 0.000, 0.500), Tc at (0.250, 0.250, 0.500), Pd at (0.000, 0.500, 0.500), Se at (0.000, 0.000, 0.000), Se at (0.000, 0.500, 0.000) and Se at (0.250, 0.250, 0.000).